Record 1
## TiAlTe3 (PBE)

Data for an optimized crystal structure of TiAlTe3.

Geometry as POSCAR:
```
TiAlTe3
1.0
5.261 0.000 0.000
0.000 5.261 0.000
0.000 0.000 5.261
Ti Al Te
1 1 3
Direct
0.000 0.000 0.000
0.500 0.500 0.500
0.000 0.500 0.500
0.500 0.000 0.500
0.500 0.500 0.000
```

Summary:
* mass density: 5.22 g/cm³
* raw total energy: -3.733 eV per atom
* SG: Pm-3m

Record 2
## TiAl2Te (PBE)

Data for an optimized crystal structure of TiAl2Te.

Geometry as POSCAR:
```
TiAl2Te
1.0
-3.890 3.890 2.783
3.890 -3.890 2.783
3.890 3.890 -2.783
Ti Al Te
2 4 2
Direct
0.000 0.000 0.000
0.750 0.250 0.500
0.119 0.125 0.494
0.375 0.881 0.006
0.631 0.625 0.506
0.875 0.369 0.994
0.250 0.750 0.500
0.500 0.500 0.000
```

Summary:
* mass density: 4.52 g/cm³
* raw total energy: -4.436 eV per atom
* SG: I-42d

Record 3
## TiAl2Te2 (PBE)

Data for an optimized crystal structure of TiAl2Te2.

Geometry as POSCAR:
```
TiAl2Te2
1.0
-1.821 1.821 8.714
1.821 -1.821 8.714
1.821 1.821 -8.714
Ti Al Te
1 2 2
Direct
0.000 0.000 0.000
0.250 0.750 0.500
0.750 0.250 0.500
0.406 0.406 0.000
0.594 0.594 0.000
```

Summary:
* mass density: 5.13 g/cm³
* raw total energy: -4.367 eV per atom
* SG: I4/mmm